# 1
This record from the Alexandria database describes a relaxed Ce2GdHf crystal. The functional is PBE.

Polymorph energy (0 for the lowest one), meV per atom: 105
ΔH_f (0 K), eV/atom: 0.28

a b c (Å): 7.6347 7.6347 7.6347
angles (deg): 90.00 90.00 90.00
Element x y z (fractional)
Ce: 0.2500 0.2500 0.2500
Ce: 0.2500 0.2500 0.7500
Ce: 0.2500 0.7500 0.2500
Ce: 0.2500 0.7500 0.7500
Ce: 0.7500 0.2500 0.2500
Ce: 0.7500 0.2500 0.7500
Ce: 0.7500 0.7500 0.2500
Ce: 0.7500 0.7500 0.7500
Gd: 0.0000 0.0000 0.0000
Gd: 0.0000 0.5000 0.5000
Gd: 0.5000 0.0000 0.5000
Gd: 0.5000 0.5000 0.0000
Hf: 0.0000 0.0000 0.5000
Hf: 0.0000 0.5000 0.0000
Hf: 0.5000 0.0000 0.0000
Hf: 0.5000 0.5000 0.5000



# 2
This record from the Alexandria database describes a relaxed CeGdHfTh crystal. The functional is PBE.

ΔH_f (0 K), eV/atom: 0.23

a b c (Å): 7.6969 7.6969 7.6969
angles (deg): 90.00 90.00 90.00
Element x y z (fractional)
Ce: 0.0000 0.0000 0.0000
Ce: 0.0000 0.5000 0.5000
Ce: 0.5000 0.0000 0.5000
Ce: 0.5000 0.5000 0.0000
Gd: 0.2500 0.2500 0.2500
Gd: 0.2500 0.7500 0.7500
Gd: 0.7500 0.2500 0.7500
Gd: 0.7500 0.7500 0.2500
Hf: 0.2500 0.2500 0.7500
Hf: 0.2500 0.7500 0.2500
Hf: 0.7500 0.2500 0.2500
Hf: 0.7500 0.7500 0.7500
Th: 0.0000 0.0000 0.5000
Th: 0.0000 0.5000 0.0000
Th: 0.5000 0.0000 0.0000
Th: 0.5000 0.5000 0.5000



# 3
This record from the Alexandria database describes a relaxed CeGdTmHf crystal. The functional is PBE.

ΔH_f (0 K), eV/atom: 0.24

a b c (Å): 7.6586 7.6586 7.6586
angles (deg): 90.00 90.00 90.00
Element x y z (fractional)
Ce: 0.0000 0.0000 0.0000
Ce: 0.0000 0.5000 0.5000
Ce: 0.5000 0.0000 0.5000
Ce: 0.5000 0.5000 0.0000
Gd: 0.0000 0.0000 0.5000
Gd: 0.0000 0.5000 0.0000
Gd: 0.5000 0.0000 0.0000
Gd: 0.5000 0.5000 0.5000
Tm: 0.2500 0.2500 0.2500
Tm: 0.2500 0.7500 0.7500
Tm: 0.7500 0.2500 0.7500
Tm: 0.7500 0.7500 0.2500
Hf: 0.2500 0.2500 0.7500
Hf: 0.2500 0.7500 0.2500
Hf: 0.7500 0.2500 0.2500
Hf: 0.7500 0.7500 0.7500



# 4
This record from the Alexandria database describes a relaxed CeGdHg2 crystal. The functional is PBE.

ΔH_f (0 K), eV/atom: -0.39

a b c (Å): 5.3864 5.3864 3.7655
angles (deg): 90.00 90.00 90.00
Element x y z (fractional)
Ce: 0.0000 0.0000 0.0000
Gd: 0.5000 0.5000 0.0000
Hg: 0.0000 0.5000 0.5000
Hg: 0.5000 0.0000 0.5000



# 5
This record from the Alexandria database describes a relaxed CeGdInHg crystal. The functional is PBE.

ΔH_f (0 K), eV/atom: -0.40

a b c (Å): 7.6371 7.6371 7.6371
angles (deg): 90.00 90.00 90.00
Element x y z (fractional)
Ce: 0.0000 0.0000 0.0000
Ce: 0.0000 0.5000 0.5000
Ce: 0.5000 0.0000 0.5000
Ce: 0.5000 0.5000 0.0000
Gd: 0.0000 0.0000 0.5000
Gd: 0.0000 0.5000 0.0000
Gd: 0.5000 0.0000 0.0000
Gd: 0.5000 0.5000 0.5000
In: 0.2500 0.2500 0.2500
In: 0.2500 0.7500 0.7500
In: 0.7500 0.2500 0.7500
In: 0.7500 0.7500 0.2500
Hg: 0.2500 0.2500 0.7500
Hg: 0.2500 0.7500 0.2500
Hg: 0.7500 0.2500 0.2500
Hg: 0.7500 0.7500 0.7500



# 6
This record from the Alexandria database describes a relaxed CeNdGdHg crystal. The functional is PBE.

ΔH_f (0 K), eV/atom: -0.03

a b c (Å): 7.6834 7.6834 7.6834
angles (deg): 90.00 90.00 90.00
Element x y z (fractional)
Ce: 0.0000 0.0000 0.0000
Ce: 0.0000 0.5000 0.5000
Ce: 0.5000 0.0000 0.5000
Ce: 0.5000 0.5000 0.0000
Nd: 0.2500 0.2500 0.7500
Nd: 0.2500 0.7500 0.2500
Nd: 0.7500 0.2500 0.2500
Nd: 0.7500 0.7500 0.7500
Gd: 0.2500 0.2500 0.2500
Gd: 0.2500 0.7500 0.7500
Gd: 0.7500 0.2500 0.7500
Gd: 0.7500 0.7500 0.2500
Hg: 0.0000 0.0000 0.5000
Hg: 0.0000 0.5000 0.0000
Hg: 0.5000 0.0000 0.0000
Hg: 0.5000 0.5000 0.5000



# 7
This record from the Alexandria database describes a relaxed CeGdNiHg crystal. The functional is PBE.

ΔH_f (0 K), eV/atom: -0.23

a b c (Å): 7.2644 7.2644 7.2644
angles (deg): 90.00 90.00 90.00
Element x y z (fractional)
Ce: 0.0000 0.0000 0.0000
Ce: 0.0000 0.5000 0.5000
Ce: 0.5000 0.0000 0.5000
Ce: 0.5000 0.5000 0.0000
Gd: 0.0000 0.0000 0.5000
Gd: 0.0000 0.5000 0.0000
Gd: 0.5000 0.0000 0.0000
Gd: 0.5000 0.5000 0.5000
Ni: 0.2500 0.2500 0.7500
Ni: 0.2500 0.7500 0.2500
Ni: 0.7500 0.2500 0.2500
Ni: 0.7500 0.7500 0.7500
Hg: 0.2500 0.2500 0.2500
Hg: 0.2500 0.7500 0.7500
Hg: 0.7500 0.2500 0.7500
Hg: 0.7500 0.7500 0.2500



# 8
This record from the Alexandria database describes a relaxed CeGdHgPb crystal. The functional is PBE.

ΔH_f (0 K), eV/atom: -0.42

a b c (Å): 7.7109 7.7109 7.7109
angles (deg): 90.00 90.00 90.00
Element x y z (fractional)
Ce: 0.0000 0.0000 0.0000
Ce: 0.0000 0.5000 0.5000
Ce: 0.5000 0.0000 0.5000
Ce: 0.5000 0.5000 0.0000
Gd: 0.0000 0.0000 0.5000
Gd: 0.0000 0.5000 0.0000
Gd: 0.5000 0.0000 0.0000
Gd: 0.5000 0.5000 0.5000
Hg: 0.2500 0.2500 0.7500
Hg: 0.2500 0.7500 0.2500
Hg: 0.7500 0.2500 0.2500
Hg: 0.7500 0.7500 0.7500
Pb: 0.2500 0.2500 0.2500
Pb: 0.2500 0.7500 0.7500
Pb: 0.7500 0.2500 0.7500
Pb: 0.7500 0.7500 0.2500



# 9
This record from the Alexandria database describes a relaxed CeGdHgPd crystal. The functional is PBE.

ΔH_f (0 K), eV/atom: -0.51

a b c (Å): 7.3615 7.3615 7.3615
angles (deg): 90.00 90.00 90.00
Element x y z (fractional)
Ce: 0.0000 0.0000 0.0000
Ce: 0.0000 0.5000 0.5000
Ce: 0.5000 0.0000 0.5000
Ce: 0.5000 0.5000 0.0000
Gd: 0.0000 0.0000 0.5000
Gd: 0.0000 0.5000 0.0000
Gd: 0.5000 0.0000 0.0000
Gd: 0.5000 0.5000 0.5000
Hg: 0.2500 0.2500 0.2500
Hg: 0.2500 0.7500 0.7500
Hg: 0.7500 0.2500 0.7500
Hg: 0.7500 0.7500 0.2500
Pd: 0.2500 0.2500 0.7500
Pd: 0.2500 0.7500 0.2500
Pd: 0.7500 0.2500 0.2500
Pd: 0.7500 0.7500 0.7500



# 10
This record from the Alexandria database describes a relaxed CePrGdHg crystal. The functional is PBE.

ΔH_f (0 K), eV/atom: -0.03

a b c (Å): 7.7057 7.7057 7.7057
angles (deg): 90.00 90.00 90.00
Element x y z (fractional)
Ce: 0.0000 0.0000 0.0000
Ce: 0.0000 0.5000 0.5000
Ce: 0.5000 0.0000 0.5000
Ce: 0.5000 0.5000 0.0000
Pr: 0.2500 0.2500 0.2500
Pr: 0.2500 0.7500 0.7500
Pr: 0.7500 0.2500 0.7500
Pr: 0.7500 0.7500 0.2500
Gd: 0.2500 0.2500 0.7500
Gd: 0.2500 0.7500 0.2500
Gd: 0.7500 0.2500 0.2500
Gd: 0.7500 0.7500 0.7500
Hg: 0.0000 0.0000 0.5000
Hg: 0.0000 0.5000 0.0000
Hg: 0.5000 0.0000 0.0000
Hg: 0.5000 0.5000 0.5000



# 11
This record from the Alexandria database describes a relaxed CeGdHgPt crystal. The functional is PBE.

ΔH_f (0 K), eV/atom: -0.68

a b c (Å): 7.3300 7.3300 7.3300
angles (deg): 90.00 90.00 90.00
Element x y z (fractional)
Ce: 0.0000 0.0000 0.0000
Ce: 0.0000 0.5000 0.5000
Ce: 0.5000 0.0000 0.5000
Ce: 0.5000 0.5000 0.0000
Gd: 0.0000 0.0000 0.5000
Gd: 0.0000 0.5000 0.0000
Gd: 0.5000 0.0000 0.0000
Gd: 0.5000 0.5000 0.5000
Hg: 0.2500 0.2500 0.2500
Hg: 0.2500 0.7500 0.7500
Hg: 0.7500 0.2500 0.7500
Hg: 0.7500 0.7500 0.2500
Pt: 0.2500 0.2500 0.7500
Pt: 0.2500 0.7500 0.2500
Pt: 0.7500 0.2500 0.2500
Pt: 0.7500 0.7500 0.7500



# 12
This record from the Alexandria database describes a relaxed CeGdHgRh crystal. The functional is PBE.

ΔH_f (0 K), eV/atom: -0.48

a b c (Å): 7.2727 7.2727 7.2727
angles (deg): 90.00 90.00 90.00
Element x y z (fractional)
Ce: 0.0000 0.0000 0.0000
Ce: 0.0000 0.5000 0.5000
Ce: 0.5000 0.0000 0.5000
Ce: 0.5000 0.5000 0.0000
Gd: 0.0000 0.0000 0.5000
Gd: 0.0000 0.5000 0.0000
Gd: 0.5000 0.0000 0.0000
Gd: 0.5000 0.5000 0.5000
Hg: 0.2500 0.2500 0.2500
Hg: 0.2500 0.7500 0.7500
Hg: 0.7500 0.2500 0.7500
Hg: 0.7500 0.7500 0.2500
Rh: 0.2500 0.2500 0.7500
Rh: 0.2500 0.7500 0.2500
Rh: 0.7500 0.2500 0.2500
Rh: 0.7500 0.7500 0.7500



# 13
This record from the Alexandria database describes a relaxed CeGdHgRu crystal. The functional is PBE.

ΔH_f (0 K), eV/atom: -0.26

a b c (Å): 7.2282 7.2282 7.2282
angles (deg): 90.00 90.00 90.00
Element x y z (fractional)
Ce: 0.0000 0.0000 0.0000
Ce: 0.0000 0.5000 0.5000
Ce: 0.5000 0.0000 0.5000
Ce: 0.5000 0.5000 0.0000
Gd: 0.0000 0.0000 0.5000
Gd: 0.0000 0.5000 0.0000
Gd: 0.5000 0.0000 0.0000
Gd: 0.5000 0.5000 0.5000
Hg: 0.2500 0.2500 0.2500
Hg: 0.2500 0.7500 0.7500
Hg: 0.7500 0.2500 0.7500
Hg: 0.7500 0.7500 0.2500
Ru: 0.2500 0.2500 0.7500
Ru: 0.2500 0.7500 0.2500
Ru: 0.7500 0.2500 0.2500
Ru: 0.7500 0.7500 0.7500



# 14
This record from the Alexandria database describes a relaxed CeGdScHg crystal. The functional is PBE.

ΔH_f (0 K), eV/atom: -0.03

a b c (Å): 7.4492 7.4492 7.4492
angles (deg): 90.00 90.00 90.00
Element x y z (fractional)
Ce: 0.0000 0.0000 0.0000
Ce: 0.0000 0.5000 0.5000
Ce: 0.5000 0.0000 0.5000
Ce: 0.5000 0.5000 0.0000
Gd: 0.2500 0.2500 0.2500
Gd: 0.2500 0.7500 0.7500
Gd: 0.7500 0.2500 0.7500
Gd: 0.7500 0.7500 0.2500
Sc: 0.2500 0.2500 0.7500
Sc: 0.2500 0.7500 0.2500
Sc: 0.7500 0.2500 0.2500
Sc: 0.7500 0.7500 0.7500
Hg: 0.0000 0.0000 0.5000
Hg: 0.0000 0.5000 0.0000
Hg: 0.5000 0.0000 0.0000
Hg: 0.5000 0.5000 0.5000



# 15
This record from the Alexandria database describes a relaxed CeGdSiHg crystal. The functional is PBE.

E_form (uncorrected), eV per atom: -0.42

a b c (Å): 7.3724 7.3724 7.3724
angles (deg): 90.00 90.00 90.00
Element x y z (fractional)
Ce: 0.0000 0.0000 0.0000
Ce: 0.0000 0.5000 0.5000
Ce: 0.5000 0.0000 0.5000
Ce: 0.5000 0.5000 0.0000
Gd: 0.0000 0.0000 0.5000
Gd: 0.0000 0.5000 0.0000
Gd: 0.5000 0.0000 0.0000
Gd: 0.5000 0.5000 0.5000
Si: 0.2500 0.2500 0.7500
Si: 0.2500 0.7500 0.2500
Si: 0.7500 0.2500 0.2500
Si: 0.7500 0.7500 0.7500
Hg: 0.2500 0.2500 0.2500
Hg: 0.2500 0.7500 0.7500
Hg: 0.7500 0.2500 0.7500
Hg: 0.7500 0.7500 0.2500



# 16
This record from the Alexandria database describes a relaxed CeGdSnHg crystal. The functional is PBE.

ΔH_f (0 K), eV/atom: -0.53

a b c (Å): 7.6353 7.6353 7.6353
angles (deg): 90.00 90.00 90.00
Element x y z (fractional)
Ce: 0.0000 0.0000 0.0000
Ce: 0.0000 0.5000 0.5000
Ce: 0.5000 0.0000 0.5000
Ce: 0.5000 0.5000 0.0000
Gd: 0.0000 0.0000 0.5000
Gd: 0.0000 0.5000 0.0000
Gd: 0.5000 0.0000 0.0000
Gd: 0.5000 0.5000 0.5000
Sn: 0.2500 0.2500 0.2500
Sn: 0.2500 0.7500 0.7500
Sn: 0.7500 0.2500 0.7500
Sn: 0.7500 0.7500 0.2500
Hg: 0.2500 0.2500 0.7500
Hg: 0.2500 0.7500 0.2500
Hg: 0.7500 0.2500 0.2500
Hg: 0.7500 0.7500 0.7500



# 17
This record from the Alexandria database describes a relaxed TbCeGdHg crystal. The functional is PBE.

ΔH_f (0 K), eV/atom: -0.02

a b c (Å): 7.6190 7.6190 7.6190
angles (deg): 90.00 90.00 90.00
Element x y z (fractional)
Tb: 0.0000 0.0000 0.0000
Tb: 0.0000 0.5000 0.5000
Tb: 0.5000 0.0000 0.5000
Tb: 0.5000 0.5000 0.0000
Ce: 0.2500 0.2500 0.2500
Ce: 0.2500 0.7500 0.7500
Ce: 0.7500 0.2500 0.7500
Ce: 0.7500 0.7500 0.2500
Gd: 0.0000 0.0000 0.5000
Gd: 0.0000 0.5000 0.0000
Gd: 0.5000 0.0000 0.0000
Gd: 0.5000 0.5000 0.5000
Hg: 0.2500 0.2500 0.7500
Hg: 0.2500 0.7500 0.2500
Hg: 0.7500 0.2500 0.2500
Hg: 0.7500 0.7500 0.7500



# 18
This record from the Alexandria database describes a relaxed CeGdThHg crystal. The functional is PBE.

ΔH_f (0 K), eV/atom: 0.02

a b c (Å): 7.6115 7.6115 7.6115
angles (deg): 90.00 90.00 90.00
Element x y z (fractional)
Ce: 0.0000 0.0000 0.0000
Ce: 0.0000 0.5000 0.5000
Ce: 0.5000 0.0000 0.5000
Ce: 0.5000 0.5000 0.0000
Gd: 0.2500 0.2500 0.2500
Gd: 0.2500 0.7500 0.7500
Gd: 0.7500 0.2500 0.7500
Gd: 0.7500 0.7500 0.2500
Th: 0.2500 0.2500 0.7500
Th: 0.2500 0.7500 0.2500
Th: 0.7500 0.2500 0.2500
Th: 0.7500 0.7500 0.7500
Hg: 0.0000 0.0000 0.5000
Hg: 0.0000 0.5000 0.0000
Hg: 0.5000 0.0000 0.0000
Hg: 0.5000 0.5000 0.5000



# 19
This record from the Alexandria database describes a relaxed CeGdYHg crystal. The functional is PBE.

ΔH_f (0 K), eV/atom: -0.03

a b c (Å): 7.6332 7.6332 7.6332
angles (deg): 90.00 90.00 90.00
Element x y z (fractional)
Ce: 0.0000 0.0000 0.0000
Ce: 0.0000 0.5000 0.5000
Ce: 0.5000 0.0000 0.5000
Ce: 0.5000 0.5000 0.0000
Gd: 0.2500 0.2500 0.2500
Gd: 0.2500 0.7500 0.7500
Gd: 0.7500 0.2500 0.7500
Gd: 0.7500 0.7500 0.2500
Y: 0.2500 0.2500 0.7500
Y: 0.2500 0.7500 0.2500
Y: 0.7500 0.2500 0.2500
Y: 0.7500 0.7500 0.7500
Hg: 0.0000 0.0000 0.5000
Hg: 0.0000 0.5000 0.0000
Hg: 0.5000 0.0000 0.0000
Hg: 0.5000 0.5000 0.5000



# 20
This record from the Alexandria database describes a relaxed CeGdZnHg crystal. The functional is PBE.

ΔH_f (0 K), eV/atom: -0.31

a b c (Å): 7.4428 7.4428 7.4428
angles (deg): 90.00 90.00 90.00
Element x y z (fractional)
Ce: 0.0000 0.0000 0.0000
Ce: 0.0000 0.5000 0.5000
Ce: 0.5000 0.0000 0.5000
Ce: 0.5000 0.5000 0.0000
Gd: 0.0000 0.0000 0.5000
Gd: 0.0000 0.5000 0.0000
Gd: 0.5000 0.0000 0.0000
Gd: 0.5000 0.5000 0.5000
Zn: 0.2500 0.2500 0.2500
Zn: 0.2500 0.7500 0.7500
Zn: 0.7500 0.2500 0.7500
Zn: 0.7500 0.7500 0.2500
Hg: 0.2500 0.2500 0.7500
Hg: 0.2500 0.7500 0.2500
Hg: 0.7500 0.2500 0.2500
Hg: 0.7500 0.7500 0.7500